(1)
The following is a GGA-PBE calculation of an optimized crystal structure of TbCe2ErIn4, from the Alexandria database.

Cell and atoms, written as POSCAR:
```
TbCe2ErIn4
1.0
5.385 0.000 0.000
2.693 4.664 0.000
2.693 1.555 8.808
Tb Ce Er In
1 2 1 4
direct
0.500 0.500 0.500 Tb
0.750 0.750 0.751 Ce
0.250 0.250 0.249 Ce
0.000 0.000 0.000 Er
0.375 0.375 0.876 In
0.875 0.875 0.374 In
0.125 0.125 0.626 In
0.625 0.625 0.124 In
```

Output
DFT formation energy, eV/atom: -0.3971
Mass density, Mg/m³: 8.00
SG: R-3m
Magnetic moment, μB per formula unit: 1.92

---

(2)
The following is a GGA-PBE calculation of an optimized crystal structure of CeErThIn, from the Alexandria database.

Cell and atoms, written as POSCAR:
```
CeErThIn
1.0
5.447 0.000 0.000
2.723 4.717 0.000
2.723 1.572 4.447
In Ce Th Er
1 1 1 1
direct
0.250 0.250 0.250 In
0.500 0.500 0.500 Ce
0.750 0.750 0.750 Th
0.000 0.000 0.000 Er
```

Output
DFT formation energy, eV/atom: -0.0301
Mass density, Mg/m³: 9.51
SG: F-43m
Magnetic moment, μB per formula unit: 0.20

---

(3)
The following is a GGA-PBE calculation of an optimized crystal structure of CeEr5TlIn2, from the Alexandria database.

Cell and atoms, written as POSCAR:
```
CeEr5TlIn2
1.0
-5.405 3.918 -5.080
4.001 -3.133 -6.674
-3.569 -6.119 6.005
Ce Er Tl In
2 10 2 4
direct
0.250 0.750 0.500 Ce
0.750 0.250 0.500 Ce
0.931 0.431 0.271 Er
0.659 0.159 0.729 Er
0.069 0.569 0.729 Er
0.159 0.069 0.729 Er
0.569 0.659 0.729 Er
0.841 0.931 0.271 Er
0.431 0.341 0.271 Er
0.341 0.841 0.271 Er
0.500 0.500 0.000 Er
0.000 0.000 0.000 Er
0.250 0.250 0.500 Tl
0.750 0.750 0.500 Tl
0.113 0.387 0.000 In
0.613 0.113 0.000 In
0.387 0.887 0.000 In
0.887 0.613 0.000 In
```

Output
DFT formation energy, eV/atom: -0.0287
Mass density, Mg/m³: 9.32
SG: I4/mcm
Magnetic moment, μB per formula unit: 1.79

---

(4)
The following is a GGA-PBE calculation of an optimized crystal structure of CeErTlIn, from the Alexandria database.

Cell and atoms, written as POSCAR:
```
CeErTlIn
1.0
-3.527 1.304 -3.309
-3.554 -1.480 3.205
3.416 4.120 1.774
Ce Er Tl In
1 1 1 1
direct
0.250 0.750 0.500 Ce
0.750 0.250 0.500 Er
0.500 0.500 0.000 Tl
0.000 0.000 0.000 In
```

Output
DFT formation energy, eV/atom: -0.3275
Mass density, Mg/m³: 9.45
SG: I-4m2
Magnetic moment, μB per formula unit: 1.28

---

(5)
The following is a GGA-PBE calculation of an optimized crystal structure of CeErTlIn, from the Alexandria database.

Cell and atoms, written as POSCAR:
```
CeErTlIn
1.0
-0.951 -3.892 -3.622
4.128 -2.516 -2.407
1.104 -5.146 1.213
Tl In Ce Er
1 1 1 1
direct
0.000 0.000 0.000 Tl
0.500 0.500 0.500 In
0.750 0.750 0.750 Ce
0.250 0.250 0.250 Er
```

Output
DFT formation energy, eV/atom: -0.3265
Mass density, Mg/m³: 9.34
SG: F-43m
Magnetic moment, μB per formula unit: 1.05

---

(6)
The following is a GGA-PBE calculation of an optimized crystal structure of CeEr2TmIn4, from the Alexandria database.

Cell and atoms, written as POSCAR:
```
CeEr2TmIn4
1.0
-0.392 1.569 5.058
-4.656 1.710 1.896
-3.717 -7.080 4.696
Ce Er Tm In
1 2 1 4
direct
0.500 0.500 0.500 Ce
0.749 0.749 0.752 Er
0.251 0.251 0.248 Er
0.000 0.000 0.000 Tm
0.373 0.373 0.880 In
0.877 0.877 0.369 In
0.123 0.123 0.631 In
0.627 0.627 0.120 In
```

Output
DFT formation energy, eV/atom: -0.4080
Mass density, Mg/m³: 8.57
SG: R-3m
Magnetic moment, μB per formula unit: 0.91

---

(7)
The following is a GGA-PBE calculation of an optimized crystal structure of Ce2ErTmIn4, from the Alexandria database.

Cell and atoms, written as POSCAR:
```
Ce2ErTmIn4
1.0
-5.145 -1.519 0.035
-1.968 -2.713 4.189
-4.578 6.152 5.268
Ce Er Tm In
2 1 1 4
direct
0.750 0.750 0.750 Ce
0.250 0.250 0.250 Ce
0.000 0.000 0.000 Er
0.500 0.500 0.500 Tm
0.375 0.375 0.875 In
0.875 0.875 0.375 In
0.125 0.125 0.625 In
0.625 0.625 0.125 In
```

Output
DFT formation energy, eV/atom: -0.3891
Mass density, Mg/m³: 8.17
SG: R-3m
Magnetic moment, μB per formula unit: 1.94

---

(8)
The following is a GGA-PBE calculation of an optimized crystal structure of CeErZrIn, from the Alexandria database.

Cell and atoms, written as POSCAR:
```
CeErZrIn
1.0
5.222 0.000 0.000
2.611 4.523 0.000
2.611 1.508 4.264
In Zr Ce Er
1 1 1 1
direct
0.250 0.250 0.250 In
0.500 0.500 0.500 Zr
0.750 0.750 0.750 Ce
0.000 0.000 0.000 Er
```

Output
DFT formation energy, eV/atom: -0.0336
Mass density, Mg/m³: 8.47
SG: F-43m
Magnetic moment, μB per formula unit: 0.46

---

(9)
The following is a GGA-PBE calculation of an optimized crystal structure of CeEr2Ir, from the Alexandria database.

Cell and atoms, written as POSCAR:
```
CeEr2Ir
1.0
-1.016 -2.693 2.654
-2.709 -2.687 -0.876
5.215 -7.291 -2.515
Ce Er Ir
1 2 1
direct
0.502 0.502 0.495 Ce
0.056 0.056 0.833 Er
0.277 0.277 0.170 Er
0.666 0.666 0.002 Ir
```

Output
Offset from the most stable computed form, meV per atom: 254
DFT formation energy, eV/atom: -0.2832
Mass density, Mg/m³: 9.24
SG: R3m
Magnetic moment, μB per formula unit: 1.73

---

(10)
The following is a GGA-PBE calculation of an optimized crystal structure of CeErIr, from the Alexandria database.

Cell and atoms, written as POSCAR:
```
CeErIr
1.0
-1.875 2.706 -1.923
-3.987 -1.688 1.513
0.399 4.889 6.493
Ce Er Ir
2 2 2
direct
0.024 0.339 0.976 Ce
0.522 0.836 0.071 Ce
0.023 0.838 0.655 Er
0.523 0.338 0.392 Er
0.523 0.338 0.736 Ir
0.023 0.838 0.311 Ir
```

Output
Offset from the most stable computed form, meV per atom: 0
DFT formation energy, eV/atom: -0.5798
Mass density, Mg/m³: 11.66
SG: P-1
Magnetic moment, μB per formula unit: 0.00

---

(11)
The following is a GGA-PBE calculation of an optimized crystal structure of Ce5ErIr6, from the Alexandria database.

Cell and atoms, written as POSCAR:
```
Ce5ErIr6
1.0
-3.901 -3.834 -4.309
3.781 -1.822 -5.556
3.668 -5.929 0.078
Ce Er Ir
5 1 6
direct
0.500 0.168 0.663 Ce
0.000 0.335 0.331 Ce
0.500 0.500 0.000 Ce
0.000 0.665 0.669 Ce
0.500 0.832 0.337 Ce
0.000 0.000 0.000 Er
0.751 0.083 0.335 Ir
0.249 0.582 0.335 Ir
0.253 0.250 0.000 Ir
0.747 0.750 0.000 Ir
0.751 0.418 0.665 Ir
0.249 0.917 0.665 Ir
```

Output
DFT formation energy, eV/atom: -0.6901
Mass density, Mg/m³: 12.15
SG: C2/m
Magnetic moment, μB per formula unit: 0.00

---

(12)
The following is a GGA-PBE calculation of an optimized crystal structure of CeEr2Ir, from the Alexandria database.

Cell and atoms, written as POSCAR:
```
CeEr2Ir
1.0
6.405 0.000 0.000
0.000 7.131 0.000
0.000 0.000 9.354
Ce Er Ir
4 8 4
direct
0.642 0.539 0.250 Ce
0.858 0.039 0.250 Ce
0.358 0.461 0.750 Ce
0.142 0.961 0.750 Ce
0.166 0.677 0.064 Er
0.334 0.177 0.436 Er
0.834 0.323 0.564 Er
0.666 0.823 0.936 Er
0.834 0.323 0.936 Er
0.666 0.823 0.564 Er
0.166 0.677 0.436 Er
0.334 0.177 0.064 Er
0.048 0.375 0.250 Ir
0.452 0.875 0.250 Ir
0.952 0.625 0.750 Ir
0.548 0.125 0.750 Ir
```

Output
Offset from the most stable computed form, meV per atom: 0
DFT formation energy, eV/atom: -0.5369
Mass density, Mg/m³: 10.37
SG: Pnma
Magnetic moment, μB per formula unit: 0.82

---

(13)
The following is a GGA-PBE calculation of an optimized crystal structure of Ce5ErIr4, from the Alexandria database.

Cell and atoms, written as POSCAR:
```
Ce5ErIr4
1.0
4.142 0.000 0.000
0.000 7.684 -0.773
-2.071 -1.907 8.508
Ce Er Ir
5 1 4
direct
0.828 0.628 0.655 Ce
0.837 0.127 0.674 Ce
0.163 0.873 0.326 Ce
0.500 0.500 0.000 Ce
0.172 0.372 0.345 Ce
0.500 0.000 0.000 Er
0.319 0.861 0.637 Ir
0.996 0.736 0.992 Ir
0.681 0.139 0.363 Ir
0.004 0.264 0.008 Ir
```

Output
DFT formation energy, eV/atom: -0.5801
Mass density, Mg/m³: 10.27
SG: C2/m
Magnetic moment, μB per formula unit: 3.16

---

(14)
The following is a GGA-PBE calculation of an optimized crystal structure of CeEr2Ir, from the Alexandria database.

Cell and atoms, written as POSCAR:
```
CeEr2Ir
1.0
3.692 0.000 0.000
1.846 3.197 0.000
1.846 1.066 10.469
Ir Ce Er
1 1 2
direct
0.500 0.500 0.500 Ir
0.000 0.000 0.000 Ce
0.113 0.113 0.661 Er
0.887 0.887 0.339 Er
```

Output
Offset from the most stable computed form, meV per atom: 428
DFT formation energy, eV/atom: -0.1093
Mass density, Mg/m³: 8.96
SG: R-3m
Magnetic moment, μB per formula unit: 1.66

---

(15)
The following is a GGA-PBE calculation of an optimized crystal structure of Ce5ErIr5, from the Alexandria database.

Cell and atoms, written as POSCAR:
```
Ce5ErIr5
1.0
-2.809 2.154 -4.428
0.409 -6.915 0.005
-6.147 2.022 4.884
Ce Er Ir
5 1 5
direct
0.672 0.344 0.328 Ce
0.670 0.341 0.843 Ce
0.000 0.000 0.500 Ce
0.330 0.659 0.157 Ce
0.328 0.656 0.672 Ce
0.000 0.000 0.000 Er
0.840 0.679 0.177 Ir
0.832 0.664 0.660 Ir
0.500 0.000 0.000 Ir
0.168 0.336 0.340 Ir
0.160 0.321 0.823 Ir
```

Output
DFT formation energy, eV/atom: -0.6582
Mass density, Mg/m³: 11.04
SG: C2/m
Magnetic moment, μB per formula unit: 1.45

---

(16)
The following is a GGA-PBE calculation of an optimized crystal structure of Ce2ErIr9, from the Alexandria database.

Cell and atoms, written as POSCAR:
```
Ce2ErIr9
1.0
5.303 0.000 0.000
2.652 4.593 0.000
2.652 1.531 8.870
Ce Er Ir
2 1 9
direct
0.861 0.861 0.417 Ce
0.139 0.139 0.583 Ce
0.000 0.000 0.000 Er
0.667 0.667 0.998 Ir
0.333 0.333 0.002 Ir
0.500 0.500 0.500 Ir
0.418 0.418 0.246 Ir
0.919 0.418 0.246 Ir
0.418 0.919 0.246 Ir
0.582 0.582 0.754 Ir
0.582 0.081 0.754 Ir
0.081 0.582 0.754 Ir
```

Output
DFT formation energy, eV/atom: -0.5826
Mass density, Mg/m³: 16.74
SG: R-3m
Magnetic moment, μB per formula unit: 0.00

---

(17)
The following is a GGA-PBE calculation of an optimized crystal structure of Ce2ErIr, from the Alexandria database.

Cell and atoms, written as POSCAR:
```
Ce2ErIr
1.0
3.715 0.000 0.000
1.858 3.218 0.000
1.858 1.073 10.064
Ir Ce Er
1 2 1
direct
0.500 0.500 0.500 Ir
0.108 0.108 0.676 Ce
0.892 0.892 0.324 Ce
0.000 0.000 0.000 Er
```

Output
Offset from the most stable computed form, meV per atom: 384
DFT formation energy, eV/atom: -0.0576
Mass density, Mg/m³: 8.83
SG: R-3m
Magnetic moment, μB per formula unit: 1.57

---

(18)
The following is a GGA-PBE calculation of an optimized crystal structure of Ce2Er2Ir3, from the Alexandria database.

Cell and atoms, written as POSCAR:
```
Ce2Er2Ir3
1.0
4.617 -0.005 0.001
-2.301 5.309 -0.290
-0.004 -1.048 7.179
Ce Er Ir
2 2 3
direct
0.871 0.742 0.641 Ce
0.129 0.258 0.359 Ce
0.639 0.277 0.922 Er
0.361 0.723 0.078 Er
0.000 0.000 0.000 Ir
0.809 0.617 0.281 Ir
0.191 0.383 0.719 Ir
```

Output
Offset from the most stable computed form, meV per atom: 74
DFT formation energy, eV/atom: -0.6911
Mass density, Mg/m³: 11.34
SG: C2/m
Magnetic moment, μB per formula unit: 0.72

---

(19)
The following is a GGA-PBE calculation of an optimized crystal structure of CeEr3Ir8, from the Alexandria database.

Cell and atoms, written as POSCAR:
```
CeEr3Ir8
1.0
5.358 0.000 0.000
2.679 4.640 0.000
2.679 1.547 8.740
Ce Er Ir
1 3 8
direct
0.875 0.875 0.374 Ce
0.374 0.374 0.877 Er
0.001 0.001 0.997 Er
0.499 0.499 0.503 Er
0.937 0.438 0.187 Ir
0.437 0.937 0.688 Ir
0.438 0.438 0.187 Ir
0.937 0.937 0.688 Ir
0.187 0.187 0.438 Ir
0.688 0.688 0.937 Ir
0.438 0.937 0.187 Ir
0.937 0.437 0.688 Ir
```

Output
DFT formation energy, eV/atom: -0.8091
Mass density, Mg/m³: 16.66
SG: R3m
Magnetic moment, μB per formula unit: 0.00

---

(20)
The following is a GGA-PBE calculation of an optimized crystal structure of Ce3Er2Ir2, from the Alexandria database.

Cell and atoms, written as POSCAR:
```
Ce3Er2Ir2
1.0
-2.191 -3.377 -0.517
2.654 -4.587 2.781
-3.698 -1.172 7.403
Ce Er Ir
3 2 2
direct
0.500 0.000 0.000 Ce
0.343 0.857 0.457 Ce
0.657 0.143 0.543 Ce
0.154 0.500 0.192 Er
0.846 0.500 0.808 Er
0.164 0.851 0.820 Ir
0.836 0.149 0.180 Ir
```

Output
DFT formation energy, eV/atom: -0.5140
Mass density, Mg/m³: 10.59
SG: C2/m
Magnetic moment, μB per formula unit: 0.00